{
  "formula": "Cr2IrBr",
  "functional": "PBE",
  "state": "optimized geometry",
  "lattice_angstrom": [[-2.8818, -3.1695, 1.7659], [-2.2606, -3.9254, -0.9744], [2.2622, -6.5091, 2.3085]],
  "species": ["Cr", "Cr", "Br", "Ir"],
  "frac_coords": [[0.9721, 0.9721, 0.8806], [0.5279, 0.5279, 0.6194], [0.2500, 0.2500, 0.2500], [0.7500, 0.7500, 0.7500]],
  "final_energy_ev_per_atom": -6.985,
  "polymorph_energy_mev_per_atom": 180,
  "e_form_raw_kj_per_mol_atoms": 44.4
}